# 1
Crystalline Ho4Cu2N at its relaxed geometry, computed with PBE-GGA.

a b c (Å): 7.5776 7.5776 7.5776
angles (deg): 143.78 143.78 52.16
Element x y z (fractional)
Ho 0.0000 0.5000 0.5000
Ho 0.1794 0.1794 0.0000
Ho 0.5000 0.0000 0.5000
Ho 0.8206 0.8206 0.0000
Cu 0.3787 0.3787 0.0000
Cu 0.6213 0.6213 0.0000
N 0.0000 0.0000 0.0000

- M_tot (μB per cell) = 0.0
- total energy (eV per atom) = -5.49
- uncorrected formation energy (eV/f.u.) = -3.61


# 2
Crystalline Ho2CuN at its relaxed geometry, computed with PBE-GGA.

a b c (Å): 8.5132 8.5132 8.5132
angles (deg): 22.74 22.74 22.74
Element x y z (fractional)
Ho 0.1126 0.1126 0.1126
Ho 0.8874 0.8874 0.8874
Cu 0.0000 0.0000 0.0000
N 0.5000 0.5000 0.5000

- M_tot (μB per cell) = 0.0
- total energy (eV per atom) = -5.83
- uncorrected formation energy (eV/f.u.) = -1.74


# 3
Crystalline NaHoCu4 at its relaxed geometry, computed with PBE-GGA.

a b c (Å): 5.1566 5.1566 5.1566
angles (deg): 60.00 60.00 60.00
Element x y z (fractional)
Na 0.0000 0.0000 0.0000
Ho 0.2500 0.2500 0.2500
Cu 0.1226 0.6258 0.6258
Cu 0.6258 0.1226 0.6258
Cu 0.6258 0.6258 0.1226
Cu 0.6258 0.6258 0.6258

- calculated formation energy (eV per atom) = -0.0329
- M_tot (μB per cell) = 0.0
- total energy (eV per atom) = -3.75


# 4
Crystalline NaHoCu10 at its relaxed geometry, computed with PBE-GGA.

a b c (Å): 4.0602 5.0326 8.7072
angles (deg): 90.00 90.00 90.00
Element x y z (fractional)
Na 0.0000 0.0000 0.0000
Ho 0.0000 0.5000 0.5000
Cu 0.0000 0.0000 0.3311
Cu 0.0000 0.0000 0.6689
Cu 0.0000 0.5000 0.1655
Cu 0.0000 0.5000 0.8345
Cu 0.5000 0.0000 0.5000
Cu 0.5000 0.2555 0.2551
Cu 0.5000 0.2555 0.7449
Cu 0.5000 0.5000 0.0000
Cu 0.5000 0.7445 0.2551
Cu 0.5000 0.7445 0.7449

- calculated formation energy (eV per atom) = -0.0584
- M_tot (μB per cell) = 0.0
- total energy (eV per atom) = -3.96


# 5
Crystalline Na2HoCuO4 at its relaxed geometry, computed with PBE-GGA.

a b c (Å): 5.9775 3.1131 6.2460
angles (deg): 90.00 115.15 90.00
Element x y z (fractional)
Na 0.0000 0.0000 0.0000
Na 0.5000 0.5000 0.0000
Ho 0.0000 0.5000 0.5000
Cu 0.5000 0.0000 0.5000
O 0.2014 0.0000 0.7599
O 0.2978 0.5000 0.3380
O 0.7022 0.5000 0.6620
O 0.7986 0.0000 0.2401

- M_tot (μB per cell) = 0.1
- total energy (eV per atom) = -5.66
- uncorrected formation energy (eV/f.u.) = -14.16


# 6
Crystalline NaHoCuSe2 at its relaxed geometry, computed with PBE-GGA.

a b c (Å): 7.1032 4.5460 7.8733
angles (deg): 90.00 99.13 90.00
Element x y z (fractional)
Na 0.0000 0.1510 0.2500
Na 0.0000 0.8490 0.7500
Ho 0.5000 0.4927 0.7500
Ho 0.5000 0.5073 0.2500
Cu 0.5000 0.0000 0.0000
Cu 0.5000 0.0000 0.5000
Se 0.2347 0.3199 0.9652
Se 0.2347 0.6801 0.4652
Se 0.7653 0.3199 0.5348
Se 0.7653 0.6801 0.0348

- M_tot (μB per cell) = 0.0
- total energy (eV per atom) = -4.33
- uncorrected formation energy (eV/f.u.) = -4.71


# 7
Crystalline NaHoCuTe2 at its relaxed geometry, computed with PBE-GGA.

a b c (Å): 7.8138 4.5607 8.2768
angles (deg): 90.00 98.04 90.00
Element x y z (fractional)
Na 0.0000 0.1634 0.2500
Na 0.0000 0.8366 0.7500
Ho 0.5000 0.4956 0.7500
Ho 0.5000 0.5044 0.2500
Cu 0.5000 0.0000 0.0000
Cu 0.5000 0.0000 0.5000
Te 0.2323 0.3149 0.9671
Te 0.2323 0.6851 0.4671
Te 0.7677 0.3149 0.5329
Te 0.7677 0.6851 0.0329

- M_tot (μB per cell) = 0.0
- total energy (eV per atom) = -3.94
- uncorrected formation energy (eV/f.u.) = -3.43


# 8
Crystalline NaHoTlCu at its relaxed geometry, computed with PBE-GGA.

a b c (Å): 5.0743 5.0743 5.0743
angles (deg): 60.00 60.00 60.00
Element x y z (fractional)
Na 0.0000 0.0000 0.0000
Ho 0.5000 0.5000 0.5000
Tl 0.7500 0.7500 0.7500
Cu 0.2500 0.2500 0.2500

- calculated formation energy (eV per atom) = -0.0086
- M_tot (μB per cell) = 0.0
- total energy (eV per atom) = -3.10


# 9
Crystalline HoNbCuOs at its relaxed geometry, computed with PBE-GGA.

a b c (Å): 4.6466 4.6466 4.6466
angles (deg): 60.00 60.00 60.00
Element x y z (fractional)
Ho 0.0000 0.0000 0.0000
Nb 0.5000 0.5000 0.5000
Cu 0.2500 0.2500 0.2500
Os 0.7500 0.7500 0.7500

- calculated formation energy (eV per atom) = -0.0567
- M_tot (μB per cell) = 0.0
- total energy (eV per atom) = -7.55


# 10
Crystalline HoNbCuTc at its relaxed geometry, computed with PBE-GGA.

a b c (Å): 4.6475 4.6475 4.6475
angles (deg): 60.00 60.00 60.00
Element x y z (fractional)
Ho 0.0000 0.0000 0.0000
Nb 0.5000 0.5000 0.5000
Cu 0.7500 0.7500 0.7500
Tc 0.2500 0.2500 0.2500

- calculated formation energy (eV per atom) = -0.0065
- M_tot (μB per cell) = 0.0
- total energy (eV per atom) = -7.28


# 11
Crystalline NdHoCu4 at its relaxed geometry, computed with PBE-GGA.

a b c (Å): 5.5203 5.5203 5.5203
angles (deg): 134.00 101.78 95.81
Element x y z (fractional)
Nd 0.0000 0.0000 0.0000
Ho 0.5829 0.0829 0.5000
Cu 0.0083 0.7101 0.2982
Cu 0.1855 0.3808 0.8048
Cu 0.4119 0.7101 0.7018
Cu 0.5760 0.3808 0.1952

- E above lowest polymorph (meV/atom) = 0
- calculated formation energy (eV per atom) = -0.2394
- M_tot (μB per cell) = 0.0
- total energy (eV per atom) = -4.53


# 12
Crystalline Nd2HoCu9 at its relaxed geometry, computed with PBE-GGA.

a b c (Å): 9.0013 9.0013 9.0013
angles (deg): 33.47 33.47 33.47
Element x y z (fractional)
Nd 0.1401 0.1401 0.1401
Nd 0.8599 0.8599 0.8599
Ho 0.0000 0.0000 0.0000
Cu 0.0821 0.5783 0.5783
Cu 0.3321 0.3321 0.3321
Cu 0.4217 0.4217 0.9179
Cu 0.4217 0.9179 0.4217
Cu 0.5000 0.5000 0.5000
Cu 0.5783 0.0821 0.5783
Cu 0.5783 0.5783 0.0821
Cu 0.6679 0.6679 0.6679
Cu 0.9179 0.4217 0.4217

- calculated formation energy (eV per atom) = -0.1498
- M_tot (μB per cell) = 0.0
- total energy (eV per atom) = -4.40